# CoSn

CoSn after structural relaxation (PBE-GGA, the Open Quantum Materials Database).

```
8
Lattice="5.712 0.000 0.000 0.000 5.712 0.000 0.000 0.000 5.712" Properties=species:S:1:pos:R:3 pbc="T T T"
Co 0.000 0.000 0.000
Co 0.000 2.856 2.856
Co 2.856 0.000 2.856
Co 2.856 2.856 0.000
Sn 1.428 1.428 4.284
Sn 1.428 4.284 1.428
Sn 4.284 1.428 1.428
Sn 4.284 4.284 4.284
```

Its crystal system is cubic.


# Co7Sn2

Co7Sn2 after structural relaxation (PBE-GGA, the Open Quantum Materials Database).

```
9
Lattice="2.757 0.000 0.000 -1.379 2.388 0.000 0.000 0.000 29.859" Properties=species:S:1:pos:R:3 pbc="T T T"
Co 0.000 0.000 0.000
Co 0.000 0.000 5.662
Co 0.000 0.000 24.197
Co 0.000 1.592 3.858
Co 0.000 1.592 27.930
Co 1.379 0.796 1.929
Co 1.379 0.796 26.001
Sn 0.000 1.592 22.000
Sn 1.379 0.796 7.859
```

Its crystal system is trigonal.


# Co2Sn

Co2Sn after structural relaxation (PBE-GGA, the Open Quantum Materials Database).

```
6
Lattice="4.256 0.000 0.000 -2.128 3.686 0.000 0.000 0.000 5.201" Properties=species:S:1:pos:R:3 pbc="T T T"
Co 0.000 0.000 0.000
Co 0.000 0.000 2.600
Co 0.000 2.457 1.300
Co 2.128 1.229 3.901
Sn 0.000 2.457 3.901
Sn 2.128 1.229 1.300
```

Its crystal system is hexagonal.


# Co9Sn

Co9Sn after structural relaxation (PBE-GGA, the Open Quantum Materials Database).

```
20
Lattice="2.538 0.000 0.000 0.000 3.436 0.000 0.000 0.000 37.993" Properties=species:S:1:pos:R:3 pbc="T T T"
Co 0.635 0.859 0.613
Co 0.635 0.859 3.063
Co 0.635 0.859 5.524
Co 0.635 0.859 7.950
Co 0.635 0.859 10.380
Co 0.635 0.859 28.783
Co 0.635 0.859 31.243
Co 0.635 0.859 33.703
Co 0.635 0.859 36.155
Co 1.904 2.577 1.838
Co 1.904 2.577 4.291
Co 1.904 2.577 6.750
Co 1.904 2.577 9.210
Co 1.904 2.577 27.614
Co 1.904 2.577 30.044
Co 1.904 2.577 32.470
Co 1.904 2.577 34.930
Co 1.904 2.577 37.380
Sn 0.635 0.859 25.924
Sn 1.904 2.577 12.070
```

Its crystal system is orthorhombic.


| no. | electronic total energy (eV for the cell shown) |
| --- | --- |
| 1 | -38.610 |
| 2 | -53.582 |
| 3 | -35.557 |
| 4 | -133.559 |